Entry 1:
This record from Alexandria via LeMat-Bulk describes a relaxed CsHfBPd2 crystal. The functional is PBE-GGA.

Summary:
The energy relative to the elements is 0.827 eV/atom. The magnetization is 0.000 μB/cell. For the total energy, the calculation gives -4.75 eV/atom.

Cell and atoms, written as extended XYZ:
```
5
Lattice="-3.340 -3.074 -2.645 1.779 -3.821 2.194 -3.546 0.552 3.837" Properties=species:S:1:pos:R:3 pbc="T T T"
Hf 0.000 0.000 0.000
Pd -1.670 -1.537 -1.322
Pd -1.773 0.276 1.919
Cs -2.554 -3.171 1.693
B 0.890 -1.910 1.097
```


Entry 2:
This record from Alexandria via LeMat-Bulk describes a relaxed CsRbHfB2 crystal. The functional is PBE-GGA.

Summary:
The energy relative to the elements is 1.377 eV/atom. The magnetization is 0.221 μB/cell. For the total energy, the calculation gives -3.65 eV/atom.

Cell and atoms, written as extended XYZ:
```
5
Lattice="4.747 0.000 0.000 0.000 4.747 0.000 0.000 0.000 6.013" Properties=species:S:1:pos:R:3 pbc="T T T"
Cs 2.374 2.374 3.006
B 0.000 2.374 0.000
B 2.374 0.000 0.000
Hf 0.000 0.000 0.000
Rb 0.000 0.000 3.006
```


Entry 3:
This record from Alexandria via LeMat-Bulk describes a relaxed CsHfRe2B crystal. The functional is PBE-GGA.

Summary:
The energy relative to the elements is 1.527 eV/atom. The magnetization is 0.000 μB/cell. For the total energy, the calculation gives -6.95 eV/atom.

Cell and atoms, written as extended XYZ:
```
5
Lattice="4.218 0.000 0.000 0.000 5.349 0.000 0.000 0.000 4.218" Properties=species:S:1:pos:R:3 pbc="T T T"
Hf 2.109 2.675 2.109
B 0.000 0.000 0.000
Re 2.109 0.000 0.000
Re 0.000 0.000 2.109
Cs 0.000 2.675 0.000
```


Entry 4:
This record from Alexandria via LeMat-Bulk describes a relaxed Cs2HfBS4 crystal. The functional is PBE-GGA.

Summary:
For the formation energy (no corrections), the calculation gives -0.99 eV/atom. The magnetization is 0.000 μB/cell. For the total energy, the calculation gives -5.35 eV/atom.

Cell and atoms, written as extended XYZ:
```
16
Lattice="-2.992 -5.143 -0.190 3.494 -5.622 3.892 -7.843 0.735 10.377" Properties=species:S:1:pos:R:3 pbc="T T T"
S -4.869 -3.952 7.345
S -1.848 -3.769 1.437
S 1.220 -6.407 4.129
S -6.662 -8.270 12.569
S -2.571 -2.532 5.556
S -2.145 -5.515 6.755
S -7.393 -1.614 10.025
S -5.098 -8.061 8.503
Hf -4.419 -6.301 6.992
Hf 0.000 0.000 0.000
Cs -6.648 -5.139 10.671
Cs -5.222 -3.981 3.489
Cs -2.189 -7.462 3.314
Cs -5.613 -0.427 6.698
B -2.923 -3.729 7.087
B -1.496 -2.571 -0.095
```


Entry 5:
This record from Alexandria via LeMat-Bulk describes a relaxed CsHfTl2B crystal. The functional is PBE-GGA.

Summary:
The energy relative to the elements is 0.633 eV/atom. The magnetization is 0.000 μB/cell. For the total energy, the calculation gives -3.81 eV/atom.

Cell and atoms, written as extended XYZ:
```
5
Lattice="-5.184 -1.970 2.047 0.505 -3.850 -2.427 2.765 -2.522 4.576" Properties=species:S:1:pos:R:3 pbc="T T T"
Tl -2.592 -0.985 1.023
Tl 1.383 -1.261 2.288
Hf 0.000 0.000 0.000
Cs -0.957 -4.171 2.098
B 0.252 -1.925 -1.213
```


Entry 6:
This record from Alexandria via LeMat-Bulk describes a relaxed CsHg3B crystal. The functional is PBE-GGA.

Summary:
The energy relative to the elements is 0.414 eV/atom. The magnetization is 0.000 μB/cell. For the total energy, the calculation gives -1.27 eV/atom.

Cell and atoms, written as extended XYZ:
```
5
Lattice="5.159 0.000 0.000 0.000 5.159 0.000 0.000 0.000 5.159" Properties=species:S:1:pos:R:3 pbc="T T T"
Hg 0.000 2.579 0.000
Hg 0.000 0.000 2.579
Hg 2.579 0.000 0.000
Cs 2.579 2.579 2.579
B 0.000 0.000 0.000
```


Entry 7:
This record from Alexandria via LeMat-Bulk describes a relaxed CsHg3B crystal. The functional is PBE-GGA.

Summary:
The energy relative to the elements is 1.267 eV/atom. The magnetization is 1.885 μB/cell. For the total energy, the calculation gives -0.42 eV/atom.

Cell and atoms, written as extended XYZ:
```
5
Lattice="-4.313 2.003 -5.023 2.879 -4.589 -4.302 -4.578 -4.773 2.027" Properties=species:S:1:pos:R:3 pbc="T T T"
Hg 1.440 -2.294 -2.151
Hg -2.157 1.002 -2.512
Hg -2.289 -2.387 1.014
Cs 0.000 0.000 0.000
B -3.006 -3.679 -3.649
```


Entry 8:
This record from Alexandria via LeMat-Bulk describes a relaxed Cs2HgB crystal. The functional is PBE-GGA.

Summary:
The energy relative to the elements is 0.433 eV/atom. The magnetization is 0.000 μB/cell. For the total energy, the calculation gives -1.74 eV/atom.

Cell and atoms, written as extended XYZ:
```
8
Lattice="-6.958 6.958 2.125 6.958 -6.958 2.125 6.958 6.958 -2.125" Properties=species:S:1:pos:R:3 pbc="T T T"
Hg 0.000 0.000 0.000
Hg 6.958 0.000 1.063
B 0.000 6.958 1.063
B 0.000 0.000 2.125
Cs 3.479 6.277 0.531
Cs 7.639 3.479 -0.531
Cs 3.479 0.681 2.657
Cs -0.681 3.479 1.594
```


Question: magnetization of number 1 (CsHfBPd2)?
Answer: 0.000 μB/cell


Question: What is the formula in the fourth record?
Answer: Cs2HfBS4


Question: What is the magnetization in the sixth record?
Answer: 0.000 μB/cell


Copy entry 6 word for word.
This record from Alexandria via LeMat-Bulk describes a relaxed CsHg3B crystal. The functional is PBE-GGA.

Summary:
The energy relative to the elements is 0.414 eV/atom. The magnetization is 0.000 μB/cell. For the total energy, the calculation gives -1.27 eV/atom.

Cell and atoms, written as extended XYZ:
```
5
Lattice="5.159 0.000 0.000 0.000 5.159 0.000 0.000 0.000 5.159" Properties=species:S:1:pos:R:3 pbc="T T T"
Hg 0.000 2.579 0.000
Hg 0.000 0.000 2.579
Hg 2.579 0.000 0.000
Cs 2.579 2.579 2.579
B 0.000 0.000 0.000
```